# 1
K2BaBiO | Alexandria via LeMat-Bulk | PBE-GGA | relaxed; formation energy from raw total energies = -5.16 eV per formula unit; total magnetic moment = 0.5 μB/cell; DOS(E_F) = 4.07 states/eV per cell; DFT total energy = -18.1 eV per formula unit
1.0
-2.4327 -3.6409 -3.5057
4.3501 -3.4892 0.6051
-2.3761 -2.2680 4.0042
O K Ba Bi
1 2 1 1
direct
0.0000 0.0000 0.0000
0.5000 0.0000 0.0000
0.0000 0.5000 0.0000
0.0000 0.0000 0.5000
0.5000 0.5000 0.5000

# 2
Th2AlPd | Alexandria via LeMat-Bulk | PBE-GGA | relaxed; total magnetic moment = 0.0 μB/cell; DOS(E_F) = 4.83 states/eV per cell; offset from the most stable computed form = 0.000 eV/atom; DFT total energy = -25.8 eV per formula unit
1.0
4.2951 0.0000 0.0000
0.0000 4.1761 0.0000
0.0000 -2.0881 5.6389
Th Al Pd
2 1 1
direct
0.5000 0.3973 0.7946
0.0000 0.0987 0.1974
0.5000 0.6799 0.3598
0.0000 0.8194 0.6389